Compound: TbNd2MgO6
Source: the Open Quantum Materials Database
Functional: GGA-PBE
Structure: relaxed

a b c (Å): 5.6455 5.9071 9.7605
angles (deg): 90.00 123.98 90.00
Last column: nearest neighbours and their distance in Å.
Element x y z (fractional)
Mg 0.5000 0.5000 0.0000  6 O 2.06-2.11
Mg 0.5000 0.0000 0.5000  6 O 2.06-2.11
Nd 0.7244 0.0618 0.2484  6 O 2.33-2.60
Nd 0.2756 0.5618 0.2516  6 O 2.33-2.60
Nd 0.7244 0.4382 0.7484  6 O 2.33-2.60
Nd 0.2756 0.9382 0.7516  6 O 2.33-2.60
O 0.2715 0.3102 0.0659  1 Mg 2.06, 1 Tb 2.24
O 0.3836 0.7954 0.0669  1 Mg 2.09, 1 Tb 2.24
O 0.8690 0.4445 0.2390  1 Mg 2.11, 1 Tb 2.24, 1 Nd 2.33
O 0.1310 0.9445 0.2610  1 Mg 2.11, 1 Tb 2.24, 1 Nd 2.33
O 0.6164 0.2954 0.4331  1 Mg 2.09, 1 Tb 2.24
O 0.7285 0.8102 0.4341  1 Mg 2.06, 1 Tb 2.24
O 0.2715 0.1898 0.5659  1 Mg 2.06, 1 Tb 2.24
O 0.3836 0.7046 0.5669  1 Mg 2.09, 1 Tb 2.24
O 0.8690 0.0555 0.7390  1 Mg 2.11, 1 Tb 2.24, 1 Nd 2.33
O 0.1310 0.5555 0.7610  1 Mg 2.11, 1 Tb 2.24, 1 Nd 2.33
O 0.6164 0.2046 0.9331  1 Mg 2.09, 1 Tb 2.24
O 0.7285 0.6898 0.9341  1 Mg 2.06, 1 Tb 2.24
Tb 0.0000 0.0000 0.0000  6 O 2.24
Tb 0.0000 0.5000 0.5000  6 O 2.24

Calculated values
- space-group type = P2_1/c
- raw total energy (eV/atom) = -7.50

Compound: Nd2MgTeO6
Source: the Open Quantum Materials Database
Functional: GGA-PBE
Structure: relaxed

a b c (Å): 5.5872 5.8766 9.7607
angles (deg): 90.00 124.33 90.00
Last column: nearest neighbours and their distance in Å.
Element x y z (fractional)
Mg 0.0000 0.5000 0.0000  6 O 2.08-2.10
Mg 0.0000 0.0000 0.5000  6 O 2.08-2.10
Nd 0.2303 0.0628 0.2492  4 O 2.33-2.42
Nd 0.7697 0.5628 0.2508  4 O 2.33-2.42
Nd 0.2303 0.4372 0.7492  4 O 2.33-2.42
Nd 0.7697 0.9372 0.7508  4 O 2.33-2.42
O 0.8750 0.8002 0.0609  1 Mg 2.10, 1 Te 2.17
O 0.7596 0.3083 0.0612  1 Mg 2.08, 1 Te 2.18
O 0.3623 0.4540 0.2433  1 Mg 2.09, 1 Te 2.18, 1 Nd 2.33
O 0.6377 0.9540 0.2567  1 Mg 2.09, 1 Te 2.18, 1 Nd 2.33
O 0.2404 0.8083 0.4388  1 Mg 2.08, 1 Te 2.18
O 0.1250 0.3002 0.4391  1 Mg 2.10, 1 Te 2.17
O 0.8750 0.6998 0.5609  1 Mg 2.10, 1 Te 2.17
O 0.7596 0.1917 0.5612  1 Mg 2.08, 1 Te 2.18
O 0.3623 0.0460 0.7433  1 Mg 2.09, 1 Te 2.18, 1 Nd 2.33
O 0.6377 0.5460 0.7567  1 Mg 2.09, 1 Te 2.18, 1 Nd 2.33
O 0.2404 0.6917 0.9388  1 Mg 2.08, 1 Te 2.18
O 0.1250 0.1998 0.9391  1 Mg 2.10, 1 Te 2.17
Te 0.5000 0.0000 0.0000  6 O 2.17-2.18
Te 0.5000 0.5000 0.5000  6 O 2.17-2.18

Calculated values
- space-group type = P2_1/c
- raw total energy (eV/atom) = -6.87

Compound: NdMgPb2
Source: the Open Quantum Materials Database
Functional: GGA-PBE
Structure: relaxed

a b c (Å): 4.9482 4.9482 4.5434
angles (deg): 90.00 90.00 90.00
Last column: nearest neighbours and their distance in Å.
Element x y z (fractional)
Mg 0.0000 0.0000 0.5000  8 Pb 3.36, 4 Nd 3.50
Nd 0.5000 0.5000 0.5000  8 Pb 3.36, 4 Mg 3.50
Pb 0.5000 0.0000 0.0000  4 Mg 3.36, 4 Nd 3.36, 4 Pb 3.50
Pb 0.0000 0.5000 0.0000  4 Mg 3.36, 4 Nd 3.36, 4 Pb 3.50

Calculated values
- space-group type = P4/mmm
- raw total energy (eV/atom) = -3.82